# Pu4GeIr2, relaxed, DFT PBE
# - space group = R-3m, No. 166
# - energy of formation from the pure elements (kJ per mole of atoms) = -29
data_Pu4GeIr2
_symmetry_space_group_name_H-M 'P 1'
_symmetry_Int_Tables_number 1
_cell_length_a 4.694
_cell_length_b 4.694
_cell_length_c 7.417
_cell_angle_alpha 71.55
_cell_angle_beta 71.55
_cell_angle_gamma 60.00
loop_
_symmetry_equiv_pos_as_xyz
'x,y,z'
loop_
_atom_site_label
_atom_site_type_symbol
_atom_site_fract_x
_atom_site_fract_y
_atom_site_fract_z
Pu1 Pu 0.429 0.429 0.714
Pu2 Pu 0.276 0.276 0.171
Pu3 Pu 0.724 0.724 0.829
Pu4 Pu 0.571 0.571 0.286
Ge1 Ge 0.000 0.000 0.000
Ir1 Ir 0.139 0.139 0.583
Ir2 Ir 0.861 0.861 0.417

# CsCaSbH2, relaxed, DFT PBE
# - space group = Cm, No. 8
# - offset from the most stable computed form (meV/atom) = 62.7
data_CsCaSbH2
_symmetry_space_group_name_H-M 'P 1'
_symmetry_Int_Tables_number 1
_cell_length_a 7.978
_cell_length_b 5.547
_cell_length_c 8.022
_cell_angle_alpha 90.00
_cell_angle_beta 112.17
_cell_angle_gamma 90.00
loop_
_symmetry_equiv_pos_as_xyz
'x,y,z'
loop_
_atom_site_label
_atom_site_type_symbol
_atom_site_fract_x
_atom_site_fract_y
_atom_site_fract_z
Cs1 Cs 0.779 0.000 0.447
Cs2 Cs 0.779 0.500 0.947
Ca1 Ca 0.318 0.000 0.927
Ca2 Ca 0.318 0.500 0.427
Sb1 Sb 0.176 0.000 0.248
Sb2 Sb 0.176 0.500 0.748
H1 H 0.046 0.000 0.016
H2 H 0.046 0.500 0.516
H3 H 0.609 0.000 0.029
H4 H 0.609 0.500 0.529

# Zr6GaCo2, relaxed, DFT PBE
# - space group = Immm, No. 71
# - energy of formation from the pure elements (kJ per mole of atoms) = -25
data_Zr6GaCo2
_symmetry_space_group_name_H-M 'P 1'
_symmetry_Int_Tables_number 1
_cell_length_a 7.748
_cell_length_b 7.748
_cell_length_c 7.748
_cell_angle_alpha 101.93
_cell_angle_beta 112.74
_cell_angle_gamma 113.99
loop_
_symmetry_equiv_pos_as_xyz
'x,y,z'
loop_
_atom_site_label
_atom_site_type_symbol
_atom_site_fract_x
_atom_site_fract_y
_atom_site_fract_z
Zr1 Zr 0.516 0.703 0.814
Zr2 Zr 0.484 0.297 0.186
Zr3 Zr 0.111 0.297 0.814
Zr4 Zr 0.889 0.703 0.186
Zr5 Zr 0.802 0.764 0.566
Zr6 Zr 0.198 0.236 0.434
Zr7 Zr 0.198 0.764 0.962
Zr8 Zr 0.802 0.236 0.038
Zr9 Zr 0.697 0.369 0.672
Zr10 Zr 0.303 0.631 0.328
Zr11 Zr 0.303 0.975 0.672
Zr12 Zr 0.697 0.025 0.328
Ga1 Ga 0.000 0.500 0.500
Ga2 Ga 0.000 0.000 0.000
Co1 Co 0.500 0.372 0.872
Co2 Co 0.500 0.628 0.128
Co3 Co 0.654 0.000 0.654
Co4 Co 0.346 0.000 0.346

# LiAlHg2I4, relaxed, DFT PBE
# - space group = P1, No. 1
# - formation energy from raw total energies (eV/atom) = -0.572
data_LiAlHg2I4
_symmetry_space_group_name_H-M 'P 1'
_symmetry_Int_Tables_number 1
_cell_length_a 8.521
_cell_length_b 8.513
_cell_length_c 7.843
_cell_angle_alpha 122.87
_cell_angle_beta 122.96
_cell_angle_gamma 89.99
loop_
_symmetry_equiv_pos_as_xyz
'x,y,z'
loop_
_atom_site_label
_atom_site_type_symbol
_atom_site_fract_x
_atom_site_fract_y
_atom_site_fract_z
Li1 Li 0.986 0.486 0.973
Al1 Al 0.736 0.736 0.472
Hg1 Hg 0.486 0.985 0.971
Hg2 Hg 0.236 0.236 0.472
I1 I 0.746 0.653 0.747
I2 I 0.819 0.471 0.197
I3 I 0.377 0.725 0.195
I4 I 0.001 0.095 0.748

# Ba3TcHg, relaxed, DFT PBE
# - space group = Pm-3m, No. 221
# - offset from the most stable computed form (meV/atom) = 0.0
# - energy of formation from the pure elements (kJ per mole of atoms) = 31
data_Ba3TcHg
_symmetry_space_group_name_H-M 'P 1'
_symmetry_Int_Tables_number 1
_cell_length_a 5.894
_cell_length_b 5.894
_cell_length_c 5.894
_cell_angle_alpha 90.00
_cell_angle_beta 90.00
_cell_angle_gamma 90.00
loop_
_symmetry_equiv_pos_as_xyz
'x,y,z'
loop_
_atom_site_label
_atom_site_type_symbol
_atom_site_fract_x
_atom_site_fract_y
_atom_site_fract_z
Tc1 Tc 0.000 0.000 0.000
Hg1 Hg 0.500 0.500 0.500
Ba1 Ba 0.000 0.500 0.000
Ba2 Ba 0.000 0.000 0.500
Ba3 Ba 0.500 0.000 0.000

# PuHfZr2, relaxed, DFT PBE
# - space group = R-3m, No. 166
# - offset from the most stable computed form (meV/atom) = 25.2
# - energy of formation from the pure elements (kJ per mole of atoms) = 10
data_PuHfZr2
_symmetry_space_group_name_H-M 'P 1'
_symmetry_Int_Tables_number 1
_cell_length_a 3.219
_cell_length_b 3.219
_cell_length_c 10.600
_cell_angle_alpha 81.26
_cell_angle_beta 81.26
_cell_angle_gamma 60.00
loop_
_symmetry_equiv_pos_as_xyz
'x,y,z'
loop_
_atom_site_label
_atom_site_type_symbol
_atom_site_fract_x
_atom_site_fract_y
_atom_site_fract_z
Hf1 Hf 0.000 0.000 0.000
Zr1 Zr 0.252 0.252 0.245
Zr2 Zr 0.748 0.748 0.755
Pu1 Pu 0.500 0.500 0.500

# VSi2PbI, relaxed, DFT PBE
# - space group = P4/mmm, No. 123
# - formation energy from raw total energies (eV/atom) = 0.441
data_VSi2PbI
_symmetry_space_group_name_H-M 'P 1'
_symmetry_Int_Tables_number 1
_cell_length_a 4.781
_cell_length_b 5.604
_cell_length_c 4.781
_cell_angle_alpha 90.00
_cell_angle_beta 90.00
_cell_angle_gamma 90.00
loop_
_symmetry_equiv_pos_as_xyz
'x,y,z'
loop_
_atom_site_label
_atom_site_type_symbol
_atom_site_fract_x
_atom_site_fract_y
_atom_site_fract_z
Pb1 Pb 0.000 0.500 0.000
I1 I 0.500 0.500 0.500
Si1 Si 0.000 0.000 0.500
Si2 Si 0.500 0.000 0.000
V1 V 0.000 0.000 0.000

# LaNdLuGa, relaxed, DFT PBE
# - space group = F-43m, No. 216
# - energy of formation from the pure elements (kJ per mole of atoms) = -13
data_LaNdLuGa
_symmetry_space_group_name_H-M 'P 1'
_symmetry_Int_Tables_number 1
_cell_length_a 5.445
_cell_length_b 5.445
_cell_length_c 5.445
_cell_angle_alpha 60.00
_cell_angle_beta 60.00
_cell_angle_gamma 60.00
loop_
_symmetry_equiv_pos_as_xyz
'x,y,z'
loop_
_atom_site_label
_atom_site_type_symbol
_atom_site_fract_x
_atom_site_fract_y
_atom_site_fract_z
Lu1 Lu 0.750 0.750 0.750
Nd1 Nd 0.000 0.000 0.000
Ga1 Ga 0.250 0.250 0.250
La1 La 0.500 0.500 0.500

# GaSeN2, relaxed, DFT PBE
# - space group = R-3m, No. 166
# - offset from the most stable computed form (meV/atom) = 449.5
# - formation energy from raw total energies (eV/atom) = 1.045
data_GaSeN2
_symmetry_space_group_name_H-M 'P 1'
_symmetry_Int_Tables_number 1
_cell_length_a 6.276
_cell_length_b 6.276
_cell_length_c 6.276
_cell_angle_alpha 29.88
_cell_angle_beta 29.88
_cell_angle_gamma 29.88
loop_
_symmetry_equiv_pos_as_xyz
'x,y,z'
loop_
_atom_site_label
_atom_site_type_symbol
_atom_site_fract_x
_atom_site_fract_y
_atom_site_fract_z
Ga1 Ga 0.000 0.000 0.000
Se1 Se 0.500 0.500 0.500
N1 N 0.895 0.895 0.895
N2 N 0.105 0.105 0.105

# DyMg2Au, relaxed, DFT PBE
# - space group = P4/mmm, No. 123
# - energy of formation from the pure elements (kJ per mole of atoms) = -36
data_DyMg2Au
_symmetry_space_group_name_H-M 'P 1'
_symmetry_Int_Tables_number 1
_cell_length_a 4.909
_cell_length_b 4.288
_cell_length_c 4.288
_cell_angle_alpha 90.00
_cell_angle_beta 90.00
_cell_angle_gamma 90.00
loop_
_symmetry_equiv_pos_as_xyz
'x,y,z'
loop_
_atom_site_label
_atom_site_type_symbol
_atom_site_fract_x
_atom_site_fract_y
_atom_site_fract_z
Mg1 Mg 0.000 0.000 0.500
Mg2 Mg 0.000 0.500 0.000
Au1 Au 0.500 0.500 0.500
Dy1 Dy 0.500 0.000 0.000

# ReTc2Pt, relaxed, DFT PBE
# - space group = F-43m, No. 216
# - offset from the most stable computed form (meV/atom) = 448.3
# - energy of formation from the pure elements (kJ per mole of atoms) = 33
data_ReTc2Pt
_symmetry_space_group_name_H-M 'P 1'
_symmetry_Int_Tables_number 1
_cell_length_a 4.410
_cell_length_b 4.410
_cell_length_c 4.410
_cell_angle_alpha 60.00
_cell_angle_beta 60.00
_cell_angle_gamma 60.00
loop_
_symmetry_equiv_pos_as_xyz
'x,y,z'
loop_
_atom_site_label
_atom_site_type_symbol
_atom_site_fract_x
_atom_site_fract_y
_atom_site_fract_z
Pt1 Pt 0.500 0.500 0.500
Re1 Re 0.750 0.750 0.750
Tc1 Tc 0.000 0.000 0.000
Tc2 Tc 0.250 0.250 0.250

# Sm4InPt2, relaxed, DFT PBE
# - space group = R-3m, No. 166
# - energy of formation from the pure elements (kJ per mole of atoms) = -70
data_Sm4InPt2
_symmetry_space_group_name_H-M 'P 1'
_symmetry_Int_Tables_number 1
_cell_length_a 4.901
_cell_length_b 4.901
_cell_length_c 9.974
_cell_angle_alpha 75.78
_cell_angle_beta 75.78
_cell_angle_gamma 60.00
loop_
_symmetry_equiv_pos_as_xyz
'x,y,z'
loop_
_atom_site_label
_atom_site_type_symbol
_atom_site_fract_x
_atom_site_fract_y
_atom_site_fract_z
Sm1 Sm 0.704 0.704 0.889
Sm2 Sm 0.886 0.886 0.343
Sm3 Sm 0.296 0.296 0.111
Sm4 Sm 0.114 0.114 0.657
In1 In 0.500 0.500 0.500
Pt1 Pt 0.600 0.600 0.200
Pt2 Pt 0.400 0.400 0.800

Calculated size of the total moment, 0.52; 0.00; 0.00; 0.00; 0.00; 5.43; 1.77; 0.01; 0.00; 0.00; 0.00; 0.00 μB/f.u. (same order as the records).
Calculated calculated total energy, -11.680; -3.074; -7.871; -2.130; -2.970; -10.245; -4.604; -4.440; -4.745; -3.144; -9.461; -5.541 eV/atom (same order as the records).